A plane-wave DFT calculation with PBE was carried out for an optimized crystal structure of MgCu3Au3.

Results
Energy relative to the elements   -0.1 eV/f.u.
V   17.394 Å³ per atom
Total DFT energy (no corrections)   -3.40 eV/atom

```
MgCu3Au3
1.0
9.9868 0.0000 0.0000
-4.9934 8.6488 0.0000
0.0000 0.0000 2.8193
Mg Cu Au
2 6 6
Direct
0.3333 0.6667 0.2500 Mg
0.6667 0.3333 0.7500 Mg
0.0580 0.2282 0.7500 Cu
0.1702 0.9420 0.7500 Cu
0.2282 0.1702 0.2500 Cu
0.7718 0.8298 0.7500 Cu
0.8298 0.0580 0.2500 Cu
0.9420 0.7718 0.2500 Cu
0.0822 0.6470 0.7500 Au
0.3530 0.4352 0.7500 Au
0.4352 0.0822 0.2500 Au
0.5648 0.9178 0.7500 Au
0.6470 0.5648 0.2500 Au
0.9178 0.3530 0.2500 Au
```